## Cr2CuRe (PBE)

Data for a relaxed Cr2CuRe crystal.

Results
Formation energy from the elements   0.2703 eV per atom
Total magnetic moment   1.37 μB/cell
Final energy   -34.71 eV/cell
E above lowest polymorph   0.059 eV per atom
DOS at the Fermi energy   3.7 states/eV/f.u.

abc: 2.956 2.956 5.877
angles: 90.00 90.00 90.00
Positions (direct):
1 Cu 0.000 0.000 0.484
2 Cr 0.000 0.000 0.014
3 Cr 0.500 0.500 0.239
4 Re 0.500 0.500 0.764

---

## Cr2CuRe (PBE)

Data for a relaxed Cr2CuRe crystal.

Results
Formation energy from the elements   0.2342 eV per atom
Total magnetic moment   0.00 μB/cell
Final energy   -34.85 eV/cell
E above lowest polymorph   0.023 eV per atom
DOS at the Fermi energy   2.7 states/eV/f.u.

abc: 4.841 4.841 4.841
angles: 144.04 129.58 63.48
Positions (direct):
1 Cr 0.990 0.990 0.000
2 Cr 0.768 0.268 0.500
3 Cu 0.507 0.507 0.000
4 Re 0.235 0.735 0.500

---

## Cr2CuRe (PBE)

Data for a relaxed Cr2CuRe crystal.

Results
Formation energy from the elements   0.2369 eV per atom
Total magnetic moment   3.56 μB/cell
Final energy   -34.84 eV/cell
E above lowest polymorph   0.025 eV per atom
DOS at the Fermi energy   3.0 states/eV/f.u.

abc: 4.201 4.201 4.201
angles: 60.00 60.00 60.00
Positions (direct):
1 Cu 0.000 0.000 0.000
2 Cr 0.750 0.750 0.750
3 Cr 0.250 0.250 0.250
4 Re 0.500 0.500 0.500